Density functional theory data (PBE) for a geometry-optimized BaCa2Au structure.

abc: 6.407 6.407 6.407
angles: 132.86 132.86 68.88
Positions (direct):
Ba (0.750, 0.250, 0.500)
Ca (0.250, 0.750, 0.500)
Ca (0.000, 0.000, 0.000)
Au (0.500, 0.500, 0.000)

## Properties
E above lowest polymorph: 28.89 kJ/mol of atoms
formation energy from the elements: -134 meV per atom

Density functional theory data (PBE) for a geometry-optimized PtIF3 structure.

abc: 5.448 6.220 6.179
angles: 80.40 78.68 103.16
Positions (direct):
F (0.979, 0.911, 0.623)
F (0.426, 0.413, 0.266)
F (0.911, 0.478, 0.555)
F (0.915, 0.553, 0.006)
F (0.401, 0.854, 0.826)
F (0.414, 0.814, 0.382)
Pt (0.690, 0.710, 0.189)
Pt (0.159, 0.661, 0.691)
I (0.335, 0.308, 0.772)
I (0.025, 0.061, 0.198)

## Properties
E above lowest polymorph: 0.00 kJ/mol of atoms

Density functional theory data (PBE) for a geometry-optimized Sr2CdCuSn structure.

abc: 6.276 5.159 6.276
angles: 90.00 90.00 90.00
Positions (direct):
Sr (0.000, 0.000, 0.500)
Sr (0.500, 0.000, 0.000)
Cu (0.500, 0.500, 0.500)
Cd (0.000, 0.000, 0.000)
Sn (0.000, 0.500, 0.000)

## Properties
formation energy from the elements: 304 meV per atom

Density functional theory data (PBE) for a geometry-optimized CuIrSe4 structure.

abc: 3.717 4.966 6.906
angles: 92.05 90.00 90.00
Positions (direct):
Se (0.000, 0.295, 0.388)
Se (0.500, 0.203, 0.836)
Se (0.000, 0.705, 0.612)
Se (0.500, 0.797, 0.164)
Cu (0.000, 0.000, 0.000)
Ir (0.500, 0.000, 0.500)

## Properties
E above lowest polymorph: 0.00 kJ/mol of atoms

Density functional theory data (PBE) for a geometry-optimized MgInCu2 structure.

abc: 3.083 3.334 6.588
angles: 90.00 90.00 90.00
Positions (direct):
In (0.000, 0.000, 0.463)
Cu (0.000, 0.000, 0.034)
Cu (0.500, 0.500, 0.206)
Mg (0.500, 0.500, 0.796)

## Properties
formation energy from the elements: -17 meV per atom

Density functional theory data (PBE) for a geometry-optimized AlH3S structure.

abc: 3.557 3.557 3.557
angles: 90.00 90.00 90.00
Positions (direct):
H (0.000, 0.500, 0.000)
H (0.000, 0.000, 0.500)
H (0.500, 0.000, 0.000)
Al (0.000, 0.000, 0.000)
S (0.500, 0.500, 0.500)

## Properties
E above lowest polymorph: 0.00 kJ/mol of atoms

Density functional theory data (PBE) for a geometry-optimized CoPdRu structure.

abc: 7.219 2.668 9.871
angles: 90.00 121.89 90.00
Each line ends with the local moment (μB).
Positions (direct):
Pd (0.029, 0.000, 0.641)  0.12
Pd (0.971, 0.000, 0.359)  0.12
Pd (0.029, 0.500, 0.141)  0.12
Pd (0.971, 0.500, 0.859)  0.12
Ru (0.356, 0.500, 0.619)  0.00
Ru (0.644, 0.500, 0.381)  0.00
Ru (0.356, 0.000, 0.119)  0.00
Ru (0.644, 0.000, 0.881)  0.00
Co (0.340, 0.500, 0.878)  1.46
Co (0.660, 0.000, 0.622)  1.46
Co (0.660, 0.500, 0.122)  1.46
Co (0.340, 0.000, 0.378)  1.46

## Properties
E above lowest polymorph: 3.43 kJ/mol of atoms
formation energy from the elements: 177 meV per atom

Which theoretical density belongs to each record? In order, 5.0, 6.5, 3.8, 7.5, 6.5, 2.3, 11.0 g cm⁻³.
Which electronic total energy belongs to each record? In order, -2.44, -3.58, -2.17, -4.71, -3.15, -2.98, -7.01 eV/atom.